1.
DFT (PBE-GGA) results for crystalline ScNiTe2 at its relaxed geometry.

a b c (Å): 8.8735 8.8735 8.8735
angles (deg): 24.15 24.15 24.15
Fractional coordinates of all 4 atoms:
Te  0.8893  0.8893  0.8893
Sc  0.0000  0.0000  0.0000
Ni  0.5000  0.5000  0.5000
Te  0.1107  0.1107  0.1107

Space group: R-3m
Formation energy from raw total energies, eV per formula unit: -0.5
D(E_F), states/eV per atom: 0.9698
Total energy, eV for the cell shown: -18.9
Calculated volume, Å³ per atom: 25.69
Energy above the most stable polymorph in this dataset, eV per atom: 0.559

=====

2.
DFT (PBE-GGA) results for crystalline Sc2NiTe at its relaxed geometry.

a b c (Å): 3.8551 3.8536 6.0056
angles (deg): 90.00 90.00 90.00
Fractional coordinates of all 4 atoms:
Sc  0.0000  0.0000  0.9236
Te  0.0000  0.0000  0.4386
Ni  0.5000  0.5000  0.8695
Sc  0.5000  0.5000  0.2683

Space group: P4mm
Formation energy from raw total energies, eV per formula unit: -2.2
D(E_F), states/eV per atom: 1.1939
Total energy, eV for the cell shown: -23.7
Calculated volume, Å³ per atom: 22.30

=====

3.
DFT (PBE-GGA) results for crystalline Sc2Ni2Te at its relaxed geometry.

a b c (Å): 6.9490 6.9490 3.6203
angles (deg): 90.00 90.00 90.00
Fractional coordinates of all 10 atoms:
Sc  0.6664  0.8336  0.5000
Ni  0.3765  0.8765  0.0000
Ni  0.8765  0.6235  0.0000
Sc  0.8336  0.3336  0.5000
Sc  0.1664  0.6664  0.5000
Ni  0.6235  0.1235  0.0000
Te  0.0000  0.0000  0.0000
Te  0.5000  0.5000  0.0000
Ni  0.1235  0.3765  0.0000
Sc  0.3336  0.1664  0.5000

Space group: P4/mbm
Formation energy from raw total energies, eV per formula unit: -3.2
D(E_F), states/eV per atom: 0.7329
Total energy, eV for the cell shown: -61.1
Calculated volume, Å³ per atom: 17.48
Energy above the most stable polymorph in this dataset, eV per atom: 0.000

=====

4.
DFT (PBE-GGA) results for crystalline Sc12Ni6Te at its relaxed geometry.

a b c (Å): 7.8584 7.8584 7.8584
angles (deg): 109.47 109.47 109.47
Fractional coordinates of all 19 atoms:
Sc  0.6985  0.5082  0.8097
Te  0.0000  0.0000  0.0000
Ni  0.6317  0.5000  0.1317
Ni  0.1317  0.6317  0.5000
Sc  0.8097  0.6985  0.5082
Sc  0.3015  0.1112  0.8097
Sc  0.1112  0.8097  0.3015
Sc  0.1903  0.3015  0.4918
Sc  0.6985  0.8888  0.1903
Sc  0.4918  0.1903  0.3015
Sc  0.8888  0.1903  0.6985
Sc  0.1903  0.6985  0.8888
Ni  0.3683  0.5000  0.8683
Ni  0.5000  0.1317  0.6317
Sc  0.3015  0.4918  0.1903
Ni  0.5000  0.8683  0.3683
Sc  0.8097  0.3015  0.1112
Sc  0.5082  0.8097  0.6985
Ni  0.8683  0.3683  0.5000

Space group: Im-3
Formation energy from raw total energies, eV per formula unit: -8.4
D(E_F), states/eV per atom: 1.1486
Total energy, eV for the cell shown: -122.2
Calculated volume, Å³ per atom: 19.66